TaHgIr2Rh PBE-GGA optimized geometry; space group = No. 123; Fermi-level density of states = 1.4225 states/eV/atom; VASP energy = -5.66 eV/atom; ΔH_f (0 K) = 8.9 eV/f.u.
1.0
4.691 0.000 0.000
0.000 4.691 0.000
0.000 0.000 4.901
Ta Hg Ir Rh
1 1 2 1
direct
0.000 0.000 0.000 Ta
0.500 0.500 0.000 Hg
0.000 0.500 0.500 Ir
0.500 0.000 0.500 Ir
0.500 0.500 0.500 Rh